Entry 1:
Compound: SrNi2Cl
Source: Alexandria
Functional: PBE-GGA
Structure: relaxed Values from VASP.

Structure (Quantum ESPRESSO input):
```
&SYSTEM
  ibrav = 0, nat = 4, ntyp = 3
/
ATOMIC_SPECIES
Sr 87.62 Sr.upf
Ni 58.69 Ni.upf
Cl 35.45 Cl.upf
CELL_PARAMETERS angstrom
-2.405 2.405 3.394
2.405 -2.405 3.394
2.405 2.405 -3.394
ATOMIC_POSITIONS angstrom
Sr 0.000 0.000 0.000
Ni 2.405 0.000 1.697
Ni 0.000 0.000 3.394
Cl 0.000 2.405 1.697
```

Summary:
Energy relative to the elements, uncorrected = 0.1294 eV/atom
N(E_F) = 8.8 states/eV/f.u.
Crystal system = tetragonal
ρ = 5.083 g/cm3



Entry 2:
Compound: CdCu4Br
Source: Alexandria
Functional: PBE-GGA
Structure: relaxed Values from VASP.

Structure (Quantum ESPRESSO input):
```
&SYSTEM
  ibrav = 0, nat = 6, ntyp = 3
/
ATOMIC_SPECIES
Cd 112.41 Cd.upf
Cu 63.55 Cu.upf
Br 79.90 Br.upf
CELL_PARAMETERS angstrom
0.000 3.638 3.638
3.638 0.000 3.638
3.638 3.638 0.000
ATOMIC_POSITIONS angstrom
Cd 0.000 0.000 0.000
Cu 4.551 2.725 2.725
Cu 2.725 4.551 2.725
Cu 2.725 2.725 4.551
Cu 4.551 4.551 4.551
Br 1.819 1.819 1.819
```

Summary:
Energy relative to the elements, uncorrected = 0.2527 eV/atom
N(E_F) = 3.2 states/eV/f.u.
Crystal system = cubic
ρ = 7.701 g/cm3



Entry 3:
Compound: DyGaCl
Source: Alexandria
Functional: PBE-GGA
Structure: relaxed Values from VASP.

Structure (Quantum ESPRESSO input):
```
&SYSTEM
  ibrav = 0, nat = 12, ntyp = 3
/
ATOMIC_SPECIES
Dy 162.50 Dy.upf
Ga 69.72 Ga.upf
Cl 35.45 Cl.upf
CELL_PARAMETERS angstrom
11.293 -1.945 0.000
11.293 1.945 0.000
-0.560 0.000 7.500
ATOMIC_POSITIONS angstrom
Dy 3.206 0.000 0.791
Dy 2.976 0.000 4.441
Dy 19.050 0.000 3.059
Dy 18.821 0.000 6.709
Ga 5.564 0.000 2.773
Ga 5.279 0.000 6.604
Ga 16.747 0.000 0.896
Ga 16.463 0.000 4.727
Cl 0.987 0.000 6.204
Cl 8.789 0.000 4.967
Cl 13.237 0.000 2.534
Cl 21.039 0.000 1.296
```

Summary:
Energy relative to the elements, uncorrected = -1.0711 eV/atom
N(E_F) = 1.4 states/eV/f.u.
Crystal system = monoclinic
ρ = 5.397 g/cm3



Entry 4:
Compound: La2HoBi3
Source: Alexandria
Functional: PBE-GGA
Structure: relaxed Values from VASP.

Structure (Quantum ESPRESSO input):
```
&SYSTEM
  ibrav = 0, nat = 24, ntyp = 3
/
ATOMIC_SPECIES
La 138.91 La.upf
Ho 164.93 Ho.upf
Bi 208.98 Bi.upf
CELL_PARAMETERS angstrom
0.000 6.544 13.889
4.620 0.000 13.889
4.620 6.544 0.000
ATOMIC_POSITIONS angstrom
La 1.155 1.636 1.189
La 3.465 4.908 3.432
La 1.155 1.636 5.756
La 5.775 8.180 10.376
La 3.465 4.908 17.402
La 8.085 11.453 22.022
La 5.775 8.180 24.346
La 8.085 11.453 26.590
Ho 3.465 4.908 8.095
Ho 3.465 4.908 12.739
Ho 5.775 8.180 15.039
Ho 5.775 8.180 19.684
Bi 3.516 1.698 8.051
Bi 5.674 4.908 10.417
Bi 3.414 1.698 12.782
Bi 5.724 4.970 14.996
Bi 7.984 8.180 17.361
Bi 5.826 4.970 19.727
Bi 3.414 8.119 8.051
Bi 1.256 4.908 10.417
Bi 3.516 8.119 12.782
Bi 5.826 11.391 14.996
Bi 3.566 8.180 17.361
Bi 5.724 11.391 19.727
```

Summary:
N(E_F) = 0.7 states/eV/f.u.
Crystal system = orthorhombic
ρ = 8.460 g/cm3
Formation energy = -5.9 eV/f.u.



Entry 5:
Compound: AlCdSbTe
Source: Alexandria
Functional: PBE-GGA
Structure: relaxed Values from VASP.

Structure (Quantum ESPRESSO input):
```
&SYSTEM
  ibrav = 0, nat = 4, ntyp = 4
/
ATOMIC_SPECIES
Al 26.98 Al.upf
Cd 112.41 Cd.upf
Sb 121.76 Sb.upf
Te 127.60 Te.upf
CELL_PARAMETERS angstrom
2.253 1.301 7.476
-2.253 1.301 7.476
0.000 -2.602 7.476
ATOMIC_POSITIONS angstrom
Al 0.000 0.000 0.000
Cd 0.000 0.000 11.102
Sb 0.000 0.000 8.290
Te 0.000 0.000 19.751
```

Summary:
Energy relative to the elements, uncorrected = -0.2956 eV/atom
Crystal system = trigonal
ρ = 4.909 g/cm3



Entry 6:
Compound: LaTc2Ru
Source: Alexandria
Functional: PBE-GGA
Structure: relaxed Values from VASP.

Structure (Quantum ESPRESSO input):
```
&SYSTEM
  ibrav = 0, nat = 4, ntyp = 3
/
ATOMIC_SPECIES
La 138.91 La.upf
Tc 98.00 Tc.upf
Ru 101.07 Ru.upf
CELL_PARAMETERS angstrom
2.712 -4.747 0.000
2.712 4.747 0.000
-0.913 0.000 2.729
ATOMIC_POSITIONS angstrom
La 0.000 0.000 0.000
Tc 0.899 2.373 1.365
Tc 0.899 -2.373 1.365
Ru 2.712 0.000 0.000
```

Summary:
N(E_F) = 5.9 states/eV/f.u.
Crystal system = monoclinic
ρ = 10.303 g/cm3
Formation energy = 2.1 eV/f.u.



Entry 7:
Compound: PrEu2Er
Source: Alexandria
Functional: PBE-GGA
Structure: relaxed Values from VASP.

Structure (Quantum ESPRESSO input):
```
&SYSTEM
  ibrav = 0, nat = 4, ntyp = 3
/
ATOMIC_SPECIES
Pr 140.91 Pr.upf
Eu 151.96 Eu.upf
Er 167.26 Er.upf
CELL_PARAMETERS angstrom
0.000 4.179 4.179
4.179 0.000 4.179
4.179 4.179 0.000
ATOMIC_POSITIONS angstrom
Pr 0.000 0.000 0.000
Eu 2.089 2.089 2.089
Eu 6.268 6.268 6.268
Er 4.179 4.179 4.179
```

Summary:
N(E_F) = 4.7 states/eV/f.u.
Crystal system = cubic
ρ = 6.966 g/cm3
Formation energy = 0.6 eV/f.u.



Entry 8:
Compound: SmRh2Pb
Source: Alexandria
Functional: PBE-GGA
Structure: relaxed Values from VASP.

Structure (Quantum ESPRESSO input):
```
&SYSTEM
  ibrav = 0, nat = 4, ntyp = 3
/
ATOMIC_SPECIES
Sm 150.36 Sm.upf
Rh 102.91 Rh.upf
Pb 207.20 Pb.upf
CELL_PARAMETERS angstrom
3.542 0.000 0.000
0.000 3.542 0.000
0.000 0.000 6.427
ATOMIC_POSITIONS angstrom
Sm 0.000 0.000 0.000
Rh 1.771 1.771 1.685
Rh 1.771 1.771 4.743
Pb 0.000 0.000 3.214
```

Summary:
N(E_F) = 2.2 states/eV/f.u.
Crystal system = tetragonal
ρ = 11.599 g/cm3
Formation energy = -1.5 eV/f.u.



Entry 9:
Compound: Tb3Cu2Ni3
Source: Alexandria
Functional: PBE-GGA
Structure: relaxed Values from VASP.

Structure (Quantum ESPRESSO input):
```
&SYSTEM
  ibrav = 0, nat = 16, ntyp = 3
/
ATOMIC_SPECIES
Tb 158.93 Tb.upf
Cu 63.55 Cu.upf
Ni 58.69 Ni.upf
CELL_PARAMETERS angstrom
2.018 -5.213 0.000
2.018 5.213 0.000
0.000 0.000 13.823
ATOMIC_POSITIONS angstrom
Tb 2.018 4.277 8.371
Tb 2.018 4.277 12.363
Tb 2.018 1.385 10.367
Tb 2.018 -1.385 3.456
Tb 2.018 -4.277 1.460
Tb 2.018 -4.277 5.452
Cu 2.018 3.040 1.326
Cu 2.018 3.040 5.586
Cu 2.018 -3.040 8.237
Cu 2.018 -3.040 12.497
Ni 2.018 1.665 3.456
Ni 2.018 1.072 7.455
Ni 2.018 1.072 13.280
Ni 2.018 -1.072 0.543
Ni 2.018 -1.072 6.368
Ni 2.018 -1.665 10.367
```

Summary:
N(E_F) = 4.8 states/eV/f.u.
Crystal system = orthorhombic
ρ = 8.907 g/cm3
Formation energy = -2.8 eV/f.u.



Entry 10:
Compound: AgSe2I
Source: Alexandria
Functional: PBE-GGA
Structure: relaxed Values from VASP.

Structure (Quantum ESPRESSO input):
```
&SYSTEM
  ibrav = 0, nat = 8, ntyp = 3
/
ATOMIC_SPECIES
Ag 107.87 Ag.upf
Se 78.96 Se.upf
I 126.90 I.upf
CELL_PARAMETERS angstrom
4.541 -6.673 0.000
4.541 6.673 0.000
0.000 0.000 5.251
ATOMIC_POSITIONS angstrom
Ag 1.488 0.000 0.000
Ag 7.594 0.000 2.626
Se 3.473 0.931 1.728
Se 3.473 -0.931 3.524
Se 5.608 0.931 0.898
Se 5.608 -0.931 4.353
I 4.541 4.669 3.939
I 4.541 -4.669 1.313
```

Summary:
Energy relative to the elements, uncorrected = -0.0583 eV/atom
Crystal system = orthorhombic
ρ = 4.099 g/cm3



Entry 11:
Compound: FeSb
Source: Alexandria
Functional: PBE-GGA
Structure: relaxed Values from VASP.

Structure (Quantum ESPRESSO input):
```
&SYSTEM
  ibrav = 0, nat = 4, ntyp = 2
/
ATOMIC_SPECIES
Fe 55.84 Fe.upf
Sb 121.76 Sb.upf
CELL_PARAMETERS angstrom
2.450 1.414 3.723
-2.450 1.414 3.723
0.000 -2.829 3.723
ATOMIC_POSITIONS angstrom
Fe 0.000 0.000 1.255
Fe 0.000 0.000 9.914
Sb 0.000 0.000 4.062
Sb 0.000 0.000 7.108
```

Summary:
Energy relative to the elements, uncorrected = 0.6507 eV/atom
N(E_F) = 1.3 states/eV/f.u.
Crystal system = trigonal
ρ = 7.619 g/cm3



Entry 12:
Compound: LiErSc2
Source: Alexandria
Functional: PBE-GGA
Structure: relaxed Values from VASP.

Structure (Quantum ESPRESSO input):
```
&SYSTEM
  ibrav = 0, nat = 4, ntyp = 3
/
ATOMIC_SPECIES
Li 6.94 Li.upf
Er 167.26 Er.upf
Sc 44.96 Sc.upf
CELL_PARAMETERS angstrom
1.654 0.955 10.649
-1.654 0.955 10.649
0.000 -1.910 10.649
ATOMIC_POSITIONS angstrom
Li 0.000 0.000 0.000
Er 0.000 0.000 15.973
Sc 0.000 0.000 8.067
Sc 0.000 0.000 23.879
```

Summary:
N(E_F) = 6.4 states/eV/f.u.
Crystal system = trigonal
ρ = 4.347 g/cm3
Formation energy = 0.6 eV/f.u.



What is the ρ in the first record?
5.083 g/cm3



Which of these has the lowest ρ?
AgSe2I



What did the third record say?
Compound: DyGaCl
Source: Alexandria
Functional: PBE-GGA
Structure: relaxed Values from VASP.

Structure (Quantum ESPRESSO input):
```
&SYSTEM
  ibrav = 0, nat = 12, ntyp = 3
/
ATOMIC_SPECIES
Dy 162.50 Dy.upf
Ga 69.72 Ga.upf
Cl 35.45 Cl.upf
CELL_PARAMETERS angstrom
11.293 -1.945 0.000
11.293 1.945 0.000
-0.560 0.000 7.500
ATOMIC_POSITIONS angstrom
Dy 3.206 0.000 0.791
Dy 2.976 0.000 4.441
Dy 19.050 0.000 3.059
Dy 18.821 0.000 6.709
Ga 5.564 0.000 2.773
Ga 5.279 0.000 6.604
Ga 16.747 0.000 0.896
Ga 16.463 0.000 4.727
Cl 0.987 0.000 6.204
Cl 8.789 0.000 4.967
Cl 13.237 0.000 2.534
Cl 21.039 0.000 1.296
```

Summary:
Energy relative to the elements, uncorrected = -1.0711 eV/atom
N(E_F) = 1.4 states/eV/f.u.
Crystal system = monoclinic
ρ = 5.397 g/cm3



What is the ρ in the tenth record?
4.099 g/cm3